1.
# TePb2Cl | Alexandria via LeMat-Bulk | GGA-PBE | relaxed
# **Formation energy without anion corrections**: -0.432 eV/atom
# **Energy above the most stable polymorph in this dataset**: 52.1 meV/atom
data_TePb2Cl
_symmetry_space_group_name_H-M 'C m m m'
_symmetry_Int_Tables_number 65
_symmetry_space_group_name_Hall '-C 2 2'
_cell_length_a 5.531
_cell_length_b 5.550
_cell_length_c 7.711
_cell_angle_alpha 90.00
_cell_angle_beta 90.00
_cell_angle_gamma 90.00
loop_
_atom_site_label
_atom_site_type_symbol
_atom_site_fract_x
_atom_site_fract_y
_atom_site_fract_z
_atom_site_occupancy
Te1 Te 0.000 0.000 0.000 1
Pb1 Pb 0.000 0.500 0.237 1
Cl1 Cl 0.000 0.000 0.500 1

---

2.
# TePbCl2 | Alexandria via LeMat-Bulk | GGA-PBE | relaxed
# **Formation energy without anion corrections**: -0.180 eV/atom
# **Energy above the most stable polymorph in this dataset**: 383.1 meV/atom
data_TePbCl2
_symmetry_space_group_name_H-M 'F m -3 m'
_symmetry_Int_Tables_number 225
_symmetry_space_group_name_Hall '-F 4 2 3'
_cell_length_a 7.590
_cell_length_b 7.590
_cell_length_c 7.590
_cell_angle_alpha 90.00
_cell_angle_beta 90.00
_cell_angle_gamma 90.00
loop_
_atom_site_label
_atom_site_type_symbol
_atom_site_fract_x
_atom_site_fract_y
_atom_site_fract_z
_atom_site_occupancy
Te1 Te 0.000 0.000 0.000 1
Pb1 Pb 0.000 0.000 0.500 1
Cl1 Cl 0.250 0.250 0.250 1

---

3.
# TePbCl6 | Alexandria via LeMat-Bulk | GGA-PBE | relaxed
# **Formation energy without anion corrections**: -0.771 eV/atom
data_TePbCl6
_symmetry_space_group_name_H-M 'R -3'
_symmetry_Int_Tables_number 148
_symmetry_space_group_name_Hall '-R 3'
_cell_length_a 6.7882
_cell_length_b 6.7882
_cell_length_c 18.7817
_cell_angle_alpha 90.00
_cell_angle_beta 90.00
_cell_angle_gamma 120.00
loop_
_atom_site_label
_atom_site_type_symbol
_atom_site_fract_x
_atom_site_fract_y
_atom_site_fract_z
_atom_site_occupancy
Te1 Te 0.0000 0.0000 0.0000 1
Pb1 Pb 0.0000 0.0000 0.5000 1
Cl1 Cl 0.0149 0.3178 0.9215 1

---

4.
# TePb2Cl | Alexandria via LeMat-Bulk | GGA-PBE | relaxed
# **Formation energy without anion corrections**: -0.447 eV/atom
# **Energy above the most stable polymorph in this dataset**: 37.6 meV/atom
data_TePb2Cl
_symmetry_space_group_name_H-M 'F m -3 m'
_symmetry_Int_Tables_number 225
_symmetry_space_group_name_Hall '-F 4 2 3'
_cell_length_a 7.741
_cell_length_b 7.741
_cell_length_c 7.741
_cell_angle_alpha 90.00
_cell_angle_beta 90.00
_cell_angle_gamma 90.00
loop_
_atom_site_label
_atom_site_type_symbol
_atom_site_fract_x
_atom_site_fract_y
_atom_site_fract_z
_atom_site_occupancy
Te1 Te 0.000 0.000 0.000 1
Pb1 Pb 0.250 0.250 0.250 1
Cl1 Cl 0.000 0.000 0.500 1

---

5.
# TePb2Cl | Alexandria via LeMat-Bulk | GGA-PBE | relaxed
# **Formation energy without anion corrections**: -0.439 eV/atom
# **Energy above the most stable polymorph in this dataset**: 45.7 meV/atom
data_TePb2Cl
_symmetry_space_group_name_H-M 'C 1 m 1'
_symmetry_Int_Tables_number 8
_cell_length_a 12.892
_cell_length_b 4.731
_cell_length_c 4.279
_cell_angle_alpha 90.00
_cell_angle_beta 90.74
_cell_angle_gamma 90.00
loop_
_symmetry_equiv_pos_as_xyz
'x,y,z'
'x,-y,z'
'x+1/2,y+1/2,z'
'x+1/2,-y+1/2,z'
loop_
_atom_site_label
_atom_site_type_symbol
_atom_site_fract_x
_atom_site_fract_y
_atom_site_fract_z
_atom_site_occupancy
Te1 Te 0.000 0.000 0.000 1
Pb1 Pb 0.034 0.500 0.503 1
Pb2 Pb 0.262 0.500 0.033 1
Cl1 Cl 0.284 0.000 0.453 1

---

6.
# TePbCl2 | Alexandria via LeMat-Bulk | GGA-PBE | relaxed
# **Formation energy without anion corrections**: -0.406 eV/atom
# **Energy above the most stable polymorph in this dataset**: 157.0 meV/atom
data_TePbCl2
_symmetry_space_group_name_H-M 'P m m m'
_symmetry_Int_Tables_number 47
_cell_length_a 3.650
_cell_length_b 4.816
_cell_length_c 6.072
_cell_angle_alpha 90.00
_cell_angle_beta 90.00
_cell_angle_gamma 90.00
loop_
_symmetry_equiv_pos_as_xyz
'x,y,z'
'-x,-y,-z'
'-x,-y,z'
'x,y,-z'
'x,-y,-z'
'-x,y,z'
'-x,y,-z'
'x,-y,z'
loop_
_atom_site_label
_atom_site_type_symbol
_atom_site_fract_x
_atom_site_fract_y
_atom_site_fract_z
_atom_site_occupancy
Te1 Te 0.000 0.000 0.000 1
Pb1 Pb 0.500 0.000 0.500 1
Cl1 Cl 0.000 0.500 0.500 1
Cl2 Cl 0.500 0.500 0.000 1

---

7.
# TePb2Cl | Alexandria via LeMat-Bulk | GGA-PBE | relaxed
# **Formation energy without anion corrections**: -0.455 eV/atom
# **Energy above the most stable polymorph in this dataset**: 29.5 meV/atom
data_TePb2Cl
_symmetry_space_group_name_H-M 'R 3 m'
_symmetry_Int_Tables_number 160
_symmetry_space_group_name_Hall 'R 3 -2"'
_cell_length_a 4.1576
_cell_length_b 4.1576
_cell_length_c 26.1398
_cell_angle_alpha 90.00
_cell_angle_beta 90.00
_cell_angle_gamma 120.00
loop_
_atom_site_label
_atom_site_type_symbol
_atom_site_fract_x
_atom_site_fract_y
_atom_site_fract_z
_atom_site_occupancy
Te1 Te 0.0000 0.0000 0.0000 1
Pb1 Pb 0.0000 0.0000 0.4137 1
Pb2 Pb 0.0000 0.0000 0.5829 1
Cl1 Cl 0.0000 0.0000 0.8288 1

---

8.
# TePb3Cl4 | Alexandria via LeMat-Bulk | GGA-PBE | relaxed
# **Formation energy without anion corrections**: -0.899 eV/atom
data_TePb3Cl4
_symmetry_space_group_name_H-M 'C 1 c 1'
_symmetry_Int_Tables_number 9
_cell_length_a 15.631
_cell_length_b 7.564
_cell_length_c 10.447
_cell_angle_alpha 90.00
_cell_angle_beta 111.38
_cell_angle_gamma 90.00
loop_
_symmetry_equiv_pos_as_xyz
'x,y,z'
'x,-y,z+1/2'
'x+1/2,y+1/2,z'
'x+1/2,-y+1/2,z+1/2'
loop_
_atom_site_label
_atom_site_type_symbol
_atom_site_fract_x
_atom_site_fract_y
_atom_site_fract_z
_atom_site_occupancy
Te1 Te 0.000 0.193 0.000 1
Pb1 Pb 0.057 0.489 0.375 1
Pb2 Pb 0.187 0.011 0.097 1
Pb3 Pb 0.323 0.493 0.324 1
Cl1 Cl 0.108 0.319 0.640 1
Cl2 Cl 0.212 0.180 0.357 1
Cl3 Cl 0.266 0.354 0.039 1
Cl4 Cl 0.382 0.159 0.789 1